Entry 1:
Compound: HoTm2Zn
Source: Alexandria via LeMat-Bulk
Functional: GGA-PBE
Structure: optimized geometry

The space group is R-3m (No. 166, hexagonal axes) and the conventional cell measures 3.5080, 3.5080 and 30.5819 Å, with angles of 90.00, 90.00 and 120.00 degrees. The distinct sites, in fractional coordinates, are Ho at (0.0000, 0.0000, 0.0000), Tm at (0.0000, 0.0000, 0.2395) and Zn at (0.0000, 0.0000, 0.5000).

The energy above the most stable polymorph in this dataset is 9.4 kJ per mole of atoms.


Entry 2:
Compound: Sr2PrGe3Pt4
Source: Alexandria via LeMat-Bulk
Functional: GGA-PBE
Structure: optimized geometry

The space group is P-4m2 (No. 115) and the conventional cell measures 4.474, 4.474 and 11.124 Å, with angles of 90.00, 90.00 and 90.00 degrees. The distinct sites, in fractional coordinates, are Sr at (0.000, 0.500, 0.226), Pr at (0.000, 0.000, 0.500), Ge at (0.000, 0.500, 0.887), Ge at (0.500, 0.500, 0.500), Pt at (0.000, 0.000, 0.000), Pt at (0.000, 0.500, 0.665) and Pt at (0.500, 0.500, 0.000).


Entry 3:
Compound: CaScCd2Au4
Source: Alexandria via LeMat-Bulk
Functional: GGA-PBE
Structure: optimized geometry

The space group is R-3m (No. 166, hexagonal axes) and the conventional cell measures 4.8637, 4.8637 and 23.9873 Å, with angles of 90.00, 90.00 and 120.00 degrees. The distinct sites, in fractional coordinates, are Ca at (0.0000, 0.0000, 0.0000), Sc at (0.0000, 0.0000, 0.5000), Cd at (0.0000, 0.0000, 0.2513), Au at (0.0000, 0.0000, 0.1300) and Au at (0.0000, 0.0000, 0.3813).


Entry 4:
Compound: MnAlReTc
Source: Alexandria via LeMat-Bulk
Functional: GGA-PBE
Structure: optimized geometry

The space group is F-43m (No. 216) and the conventional cell measures 6.010, 6.010 and 6.010 Å, with angles of 90.00, 90.00 and 90.00 degrees. The distinct sites, in fractional coordinates, are Mn at (0.000, 0.000, 0.000), Al at (0.250, 0.250, 0.750), Re at (0.250, 0.250, 0.250) and Tc at (0.000, 0.000, 0.500).


Entry 5:
Compound: Mg2TaTe
Source: Alexandria via LeMat-Bulk
Functional: GGA-PBE
Structure: optimized geometry

The space group is Pmmm (No. 47) and the conventional cell measures 3.601, 3.922 and 5.883 Å, with angles of 90.00, 90.00 and 90.00 degrees. The distinct sites, in fractional coordinates, are Mg at (0.000, 0.000, 0.237), Ta at (0.500, 0.500, 0.000) and Te at (0.500, 0.500, 0.500).

The calculation puts the uncorrected formation energy at 0.20 eV per atom.


Entry 6:
Compound: Fe2NiPd5
Source: Alexandria via LeMat-Bulk
Functional: GGA-PBE
Structure: optimized geometry

The space group is Pbam (No. 55) and the conventional cell measures 5.438, 10.843 and 3.868 Å, with angles of 90.00, 90.00 and 90.00 degrees. The distinct sites, in fractional coordinates, are Fe at (0.244, 0.124, 0.000), Ni at (0.000, 0.500, 0.500), Pd at (0.000, 0.000, 0.500), Pd at (0.021, 0.745, 0.500) and Pd at (0.231, 0.381, 0.000).


Entry 7:
Compound: DyPu2PaSe4
Source: Alexandria via LeMat-Bulk
Functional: GGA-PBE
Structure: optimized geometry

The space group is P2/m (No. 10) and the conventional cell measures 7.103, 4.060 and 7.133 Å, with angles of 90.00, 108.98 and 90.00 degrees. The distinct sites, in fractional coordinates, are Dy at (0.000, 0.000, 0.000), Pu at (0.000, 0.500, 0.500), Pu at (0.500, 0.000, 0.500), Pa at (0.500, 0.500, 0.000), Se at (0.247, 0.500, 0.246) and Se at (0.248, 0.000, 0.751).

The calculation puts the uncorrected formation energy at -1.50 eV per atom.


Entry 8:
Compound: Be4Ni3Ir
Source: Alexandria via LeMat-Bulk
Functional: GGA-PBE
Structure: optimized geometry

The space group is Pmmm (No. 47) and the conventional cell measures 2.763, 3.725 and 7.420 Å, with angles of 90.00, 90.00 and 90.00 degrees. The distinct sites, in fractional coordinates, are Be at (0.000, 0.000, 0.000), Be at (0.000, 0.000, 0.500), Be at (0.000, 0.500, 0.244), Ni at (0.500, 0.000, 0.238), Ni at (0.500, 0.500, 0.000) and Ir at (0.500, 0.500, 0.500).


Total magnetic moment, respectively: 0.0 0.0 0.0 0.9 0.0 18.5 11.1 0.0 μB/cell.
Raw total energy, respectively: -3.77 -5.44 -3.49 -9.09 -4.35 -6.17 -8.59 -5.66 eV/atom.